## ScTlFe2O6 (GGA+U)

Data for a geometry-optimized ScTlFe2O6 structure.

E (eV/atom): -6.619
Total moment (μB/atom): 0.800

Cell: 5.294 5.360 5.578 Å, 61.73 89.65 61.04°
Element x y z (fractional)
1 Sc 0.000 0.000 0.000
2 Tl 0.488 0.028 0.455
3 Fe 0.218 0.566 0.645
4 Fe 0.710 0.583 0.114
5 O 0.070 0.069 0.340
6 O 0.310 0.104 0.832
7 O 0.426 0.516 0.328
8 O 0.591 0.466 0.857
9 O 0.845 0.725 0.327
10 O 0.934 0.736 0.849